Record 1
A relaxed structure of YZrIn2. Source: the Alexandria database, functional GGA-PBEsol.

* density: 7.392 g/cm³
* E_tot: -23.48 eV per cell
* total magnetization: 0.00 μB/cell
* ΔH_f (0 K): -400 meV/atom

Cell: 4.6265 4.6265 4.3003 Å, 90.00 90.00 90.00°
Last column: nearest neighbours and their distance in Å.
Space group P4/mmm (No. 123)
Unique sites:
1 Y 0.0000 0.0000 0.0000 x1  8 In 3.16, 4 Zr 3.27
2 Zr 0.5000 0.5000 0.0000 x1  8 In 3.16, 4 Y 3.27
3 In 0.0000 0.5000 0.5000 x2  4 Zr 3.16, 4 Y 3.16, 4 In 3.27



Record 2
A relaxed structure of KAg2P. Source: the Alexandria database, functional GGA-PBEsol.

* density: 6.091 g/cm³
* E_tot: -12.18 eV per cell
* total magnetization: 0.00 μB/cell
* ΔH_f (0 K): 341 meV/atom

Cell: 5.4152 2.8583 5.5818 Å, 90.00 115.59 90.00°
Last column: nearest neighbours and their distance in Å.
Space group P2/m (No. 10)
Unique sites:
1 K 0.0000 0.0000 0.0000 x1  2 K 2.86, 6 Ag 2.93-3.14, 4 P 3.06
2 Ag 0.0000 0.5000 0.5000 x1  6 Ag 2.86-3.06, 2 P 2.93, 4 K 3.14
3 Ag 0.5000 0.0000 0.5000 x1  6 Ag 2.86-3.06, 2 K 2.93, 4 P 3.14
4 P 0.5000 0.5000 0.0000 x1  2 P 2.86, 6 Ag 2.93-3.14, 4 K 3.06



Record 3
A relaxed structure of ZrOs. Source: the Alexandria database, functional GGA-PBEsol.

* density: 13.685 g/cm³
* E_tot: -22.40 eV per cell
* total magnetization: 0.00 μB/cell
* ΔH_f (0 K): -547 meV/atom

Cell: 3.2444 3.2444 3.2444 Å, 90.00 90.00 90.00°
Last column: nearest neighbours and their distance in Å.
Space group Pm-3m (No. 221)
Unique sites:
1 Zr 0.0000 0.0000 0.0000 x1  8 Os 2.81
2 Os 0.5000 0.5000 0.5000 x1  8 Zr 2.81



total magnetization of number 1 (YZrIn2)?
0.00 μB/cell



Which of these has the highest ΔH_f (0 K)?
KAg2P



Which of these has the highest density?
ZrOs